Record 1
Material: Nb2Fe3W4C3
Method: DFT, PBE
State: relaxed

Cell: 9.0210 5.1866 13.4299 Å, 90.00 103.22 90.00°
With the nearest neighbours (Å) after each atom.
Space group C2/c (No. 15)
Unique sites:
Nb  0.0411  0.0838  0.3778  3 C 2.31-2.36
Fe  0.0000  0.4126  0.7500  4 W 2.59-2.60, 4 Fe 2.60
Fe  0.2492  0.3353  0.2491  4 W 2.58-2.59, 4 Fe 2.59-2.60
W  0.1120  0.4088  0.5891  3 C 2.06-2.17
W  0.2236  0.4185  0.9111  3 C 2.07-2.17
C  0.0793  0.2377  0.0001  4 W 2.06-2.17, 2 Nb 2.31
C  0.2500  0.2500  0.5000  4 W 2.08

Computed properties:
The energy is -10.413 eV/atom. The value obtained for the total magnetization is 4.22 μB per formula unit.

Record 2
Material: Nb4ZnFeC2
Method: DFT, PBE
State: relaxed

Cell: 3.1226 3.1226 13.4285 Å, 90.00 90.00 120.00°
With the nearest neighbours (Å) after each atom.
Space group P-6m2 (No. 187)
Unique sites:
Nb  0.0000  0.0000  0.1468  3 C 2.21
Nb  0.3333  0.6667  0.3331  3 C 2.18
Zn  0.0000  0.0000  0.5000  6 Nb 2.88, 6 Zn 3.12
Fe  0.3333  0.6667  0.0000  6 Nb 2.67
C  0.6667  0.3333  0.2420  6 Nb 2.18-2.21

Computed properties:
The energy is -8.780 eV/atom. The value obtained for the total magnetization is 1.40 μB per formula unit.

Record 3
Material: Zr2Nb4Fe3C3
Method: DFT, PBE
State: relaxed

Cell: 9.4059 5.4212 13.7679 Å, 90.00 103.45 90.00°
With the nearest neighbours (Å) after each atom.
Space group C2/c (No. 15)
Unique sites:
Zr  0.0428  0.0827  0.3841  3 C 2.37-2.39
Nb  0.1130  0.4113  0.5893  3 C 2.15-2.20
Nb  0.2226  0.4177  0.9107  3 C 2.15-2.20
Fe  0.0000  0.4230  0.7500  4 Nb 2.67, 4 Fe 2.71-2.72
Fe  0.2452  0.1605  0.7502  4 Nb 2.65-2.67, 4 Fe 2.71-2.72
C  0.0824  0.2471  0.0000  4 Nb 2.15-2.20, 2 Zr 2.37
C  0.2500  0.2500  0.5000  4 Nb 2.16, 2 Zr 2.39

Computed properties:
The energy is -9.511 eV/atom. The value obtained for the total magnetization is 4.49 μB per formula unit.

Record 4
Material: Nd2Fe17C3
Method: DFT, PBE
State: relaxed

Cell: 8.7413 8.7413 12.4632 Å, 90.00 90.00 120.00°
With the nearest neighbours (Å) after each atom.
Space group R-3m (No. 166, hexagonal axes)
Unique sites:
Nd  0.0000  0.0000  0.1537  3 C 2.53
Fe  0.0000  0.0000  0.4057  1 Fe 2.35
Fe  0.0000  0.2839  0.5000  1 C 1.89
Fe  0.0000  0.5000  0.0000  10 Fe 2.45-2.68
Fe  0.0126  0.5063  0.3467  1 C 1.91
C  0.0000  0.5000  0.5000  4 Fe 1.89-1.91

Computed properties:
The energy is -8.141 eV/atom. The value obtained for the total magnetization is 34.85 μB per formula unit.

Record 5
Material: Nd2Fe14C
Method: DFT, PBE
State: relaxed

Cell: 8.7664 8.7664 11.9105 Å, 90.00 90.00 90.00°
With the nearest neighbours (Å) after each atom.
Space group P4_2/mnm (No. 136)
Unique sites:
Nd  0.1428  0.1428  0.0000  1 C 2.88, 6 Fe 3.02-3.08
Nd  0.2386  0.2386  0.5000  16 Fe 3.00-3.22, 2 C 3.34
Fe  0.0000  0.0000  0.3926  2 C 2.01
Fe  0.0000  0.5000  0.0000  8 Fe 2.46-2.51
Fe  0.0361  0.6406  0.1771  10 Fe 2.38-2.63
Fe  0.0661  0.7253  0.3789  1 C 2.02
Fe  0.0979  0.9021  0.2082  8 Fe 2.38-2.63
Fe  0.1829  0.1829  0.2549  12 Fe 2.62-2.80
C  0.1252  0.8748  0.5000  6 Fe 2.01-2.02

Computed properties:
For the energy above the most stable polymorph in this dataset, the calculation gives 0 meV per atom. The value obtained for the total magnetization is 30.43 μB per formula unit.

Record 6
Material: Nd2Fe14C
Method: DFT, PBE
State: relaxed

Cell: 8.7050 8.7050 12.4717 Å, 90.00 90.00 90.00°
With the nearest neighbours (Å) after each atom.
Space group P4_2/mnm (No. 136)
Unique sites:
Nd  0.1762  0.1762  0.0000  1 C 2.47, 2 Fe 2.53
Nd  0.2355  0.7645  0.0000  14 Fe 2.99-3.22
Fe  0.0000  0.0000  0.1044  2 Fe 2.16
Fe  0.0000  0.5000  0.0000  8 Fe 2.52-2.56
Fe  0.0273  0.6414  0.1790  9 Fe 2.44-2.63
Fe  0.0415  0.7398  0.3904  1 C 1.95
Fe  0.1054  0.8946  0.2433  3 Fe 2.16-2.34
Fe  0.1920  0.1920  0.2518  9 Fe 2.49-2.73
C  0.1232  0.8768  0.5000  4 Fe 1.95

Computed properties:
For the energy above the most stable polymorph in this dataset, the calculation gives 247 meV per atom. The value obtained for the total magnetization is 30.82 μB per formula unit.

Record 7
Material: Nd2Fe14C
Method: DFT, PBE
State: relaxed

Cell: 8.7678 8.7678 11.9083 Å, 90.00 90.00 90.00°
With the nearest neighbours (Å) after each atom.
Space group P4_2/mnm (No. 136)
Unique sites:
Nd  0.1428  0.1428  0.0000  1 C 2.87, 6 Fe 3.02-3.08
Nd  0.2388  0.2388  0.5000  16 Fe 3.00-3.23, 2 C 3.34
Fe  0.0000  0.0000  0.3926  2 C 2.01
Fe  0.0000  0.5000  0.0000  8 Fe 2.46-2.51
Fe  0.0360  0.6406  0.1771  10 Fe 2.39-2.63
Fe  0.0659  0.7253  0.3790  1 C 2.02
Fe  0.0978  0.9022  0.2081  8 Fe 2.39-2.64
Fe  0.1833  0.1833  0.2548  12 Fe 2.62-2.80
C  0.1254  0.8746  0.5000  6 Fe 2.01-2.02

Computed properties:
For the energy above the most stable polymorph in this dataset, the calculation gives 0 meV per atom. The value obtained for the total magnetization is 30.43 μB per formula unit.

Record 8
Material: PrNdFe2C4
Method: DFT, PBE
State: relaxed

Cell: 3.8151 3.8196 7.4222 Å, 81.81 81.69 89.92°
With the nearest neighbours (Å) after each atom.
Space group P1 (No. 1)
Unique sites:
Pr  0.0000  0.0000  0.0000  8 C 2.72-2.79, 4 Fe 3.03-3.05
Nd  0.1467  0.8550  0.4996  8 C 2.71-2.79, 2 Fe 3.02
Fe  0.5584  0.5454  0.8014  4 C 1.93-2.02
Fe  0.6923  0.4126  0.3027  4 C 1.92-2.02
C  0.2138  0.4377  0.2240  1 C 1.40
C  0.4739  0.4795  0.0675  1 C 1.40
C  0.5840  0.0657  0.7223  1 C 1.40
C  0.6260  0.3269  0.5668  1 C 1.40

Computed properties:
The energy is -8.042 eV/atom. The value obtained for the total magnetization is 1.74 μB per formula unit.

Record 9
Material: NdScFe2Si2C
Method: DFT, PBE
State: relaxed

Cell: 10.5121 3.9048 6.7364 Å, 90.00 129.68 90.00°
With the nearest neighbours (Å) after each atom.
Space group Cm (No. 8)
Unique sites:
Nd  0.0000  0.0000  0.0000  2 C 2.65, 1 Si 2.96
Sc  0.1180  0.0000  0.6528  2 C 2.45
Fe  0.2675  0.5000  0.1383  1 C 1.79
Fe  0.3650  0.0000  0.5225  1 C 1.79
Si  0.2229  0.5000  0.4364  3 Fe 2.30-2.34
Si  0.4039  0.0000  0.2275  3 Fe 2.26-2.27
C  0.0720  0.5000  0.8206  2 Fe 1.79

Computed properties:
The energy is -7.431 eV/atom. The value obtained for the total magnetization is 0.03 μB per formula unit.

Record 10
Material: Nd2Fe2Si2C
Method: DFT, PBE
State: relaxed

Cell: 10.7971 4.0041 6.9836 Å, 90.00 129.10 90.00°
With the nearest neighbours (Å) after each atom.
Space group C2/m (No. 12)
Unique sites:
Nd  0.0596  0.0000  0.2989  2 C 2.66
Fe  0.1969  0.5000  0.0885  1 C 1.80
Si  0.1732  0.5000  0.7362  3 Fe 2.30-2.31
C  0.0000  0.5000  0.0000  2 Fe 1.80

Computed properties:
The energy is -7.205 eV/atom. The value obtained for the total magnetization is 0.00 μB per formula unit.

Record 11
Material: NdTmFe2Si2C
Method: DFT, PBE
State: relaxed

Cell: 10.6415 3.9568 6.8260 Å, 90.00 129.75 90.00°
With the nearest neighbours (Å) after each atom.
Space group Cm (No. 8)
Unique sites:
Nd  0.0000  0.0000  0.0000  2 C 2.65
Tm  0.1195  0.0000  0.5893  2 C 2.54
Fe  0.2646  0.5000  0.3959  1 C 1.79
Fe  0.3640  0.0000  0.2087  1 C 1.79
Si  0.2260  0.5000  0.0187  3 Fe 2.31-2.33
Si  0.3988  0.0000  0.5757  3 Fe 2.28-2.29
C  0.0674  0.5000  0.3134  2 Fe 1.79

Computed properties:
The energy is -7.199 eV/atom. The value obtained for the total magnetization is 0.00 μB per formula unit.

Record 12
Material: NdZrFe2Si2C
Method: DFT, PBE
State: relaxed

Cell: 10.4992 3.8632 6.7395 Å, 90.00 129.23 90.00°
With the nearest neighbours (Å) after each atom.
Space group Cm (No. 8)
Unique sites:
Nd  0.0000  0.0000  0.0000  2 C 2.65, 1 Si 2.93
Zr  0.1222  0.0000  0.5878  2 C 2.44
Fe  0.2672  0.5000  0.3918  1 C 1.80
Fe  0.3638  0.0000  0.2093  1 C 1.80
Si  0.2217  0.5000  0.0008  3 Fe 2.30-2.36
Si  0.4043  0.0000  0.5850  3 Fe 2.26-2.29
C  0.0719  0.5000  0.3253  2 Fe 1.80

Computed properties:
The energy is -7.746 eV/atom. The value obtained for the total magnetization is 0.03 μB per formula unit.

Record 13
Material: FeNi2C
Method: DFT, PBE
State: relaxed

Cell: 5.0122 6.8020 4.4448 Å, 90.00 90.00 90.00°
With the nearest neighbours (Å) after each atom.
Space group Pnma (No. 62)
Unique sites:
Fe  0.0393  0.2500  0.1637  2 C 1.92-1.95
Ni  0.1772  0.0733  0.6700  2 C 1.99
C  0.1231  0.7500  0.4459  2 Fe 1.92-1.95, 4 Ni 1.99

Computed properties:
The energy is -7.043 eV/atom. The value obtained for the total magnetization is 2.42 μB per formula unit.